1.
# Li6AgAu3

Crystalline Li6AgAu3 at its relaxed geometry (PBE, Alexandria).

POSCAR file:
```
Li6AgAu3
1.0
7.230 -1.260 -0.890
2.455 4.690 0.083
2.455 1.646 4.393
Li Ag Au
6 1 3
Direct
0.318 0.086 0.608 Li
0.682 0.392 0.914 Li
0.682 0.914 0.392 Li
0.318 0.608 0.086 Li
0.070 0.663 0.663 Li
0.930 0.337 0.337 Li
0.500 0.500 0.500 Ag
0.309 0.114 0.114 Au
0.691 0.886 0.886 Au
0.000 0.000 0.000 Au
```

## Properties
- electronic total energy (eV/atom) = -2.760
- symmetry = No. 12
- formation energy (eV per formula unit) = -3.4

2.
# LiAg2Au

Crystalline LiAg2Au at its relaxed geometry (PBE, Alexandria).

POSCAR file:
```
LiAg2Au
1.0
-1.401 -1.389 -4.200
-0.246 -2.677 0.967
-4.982 0.187 1.601
Au Ag Li
1 2 1
Direct
0.500 0.250 0.250 Au
0.000 0.956 0.990 Ag
0.000 0.544 0.510 Ag
0.500 0.750 0.750 Li
```

## Properties
- electronic total energy (eV/atom) = -2.914
- symmetry = No. 10
- formation energy (eV per formula unit) = -0.8